MgMn2ReP PBE-GGA optimized geometry; DOS(E_F) = 1.105 states/eV per atom; spin magnetization = 1.038 μB/atom; total energy = -6.2786 eV/atom; SG = P4/mmm, No. 123
1.0
4.549 0.000 0.000
0.000 4.549 0.000
0.000 0.000 5.060
Mg Mn Re P
1 2 1 1
Cartesian
0.000 0.000 0.000 Mg
0.000 2.275 2.530 Mn
2.275 0.000 2.530 Mn
0.000 0.000 2.530 Re
2.275 2.275 0.000 P